1.
Si3Sb (PBE, relaxed); space group = Cmcm; crystal system = orthorhombic; uncorrected formation energy = 0.404 eV/atom
1.0
7.6211 0.0000 0.0000
0.0000 12.1797 0.0000
0.0000 0.0000 3.4593
Si Sb
12 4
direct
0.0000 0.0797 0.2500
0.0000 0.9203 0.7500
0.1785 0.1860 0.7500
0.1785 0.8140 0.2500
0.3215 0.3140 0.2500
0.3215 0.6860 0.7500
0.5000 0.4203 0.7500
0.5000 0.5797 0.2500
0.6785 0.3140 0.2500
0.6785 0.6860 0.7500
0.8215 0.1860 0.7500
0.8215 0.8140 0.2500
0.0000 0.4040 0.2500
0.0000 0.5960 0.7500
0.5000 0.0960 0.7500
0.5000 0.9040 0.2500


2.
Na2ZrVH (PBE, relaxed); space group = P4/mmm; crystal system = tetragonal; total energy = -4.1127 eV/atom
1.0
4.2122 0.0000 0.0000
0.0000 4.2122 0.0000
0.0000 0.0000 5.1854
Na Zr V H
2 1 1 1
direct
0.0000 0.5000 0.0000
0.5000 0.0000 0.0000
0.0000 0.0000 0.5000
0.5000 0.5000 0.5000
0.0000 0.0000 0.0000


3.
Na2Sc2SiS6 (PBE, relaxed); space group = C2/m; crystal system = monoclinic; uncorrected formation energy = -1.359 eV/atom
1.0
3.1707 -5.4438 0.0000
3.1707 5.4438 0.0000
-2.1253 0.0000 6.7397
Na Sc Si S
2 2 1 6
direct
0.1701 0.8299 0.0000
0.8299 0.1701 0.0000
0.3316 0.6684 0.5000
0.6684 0.3316 0.5000
0.0000 0.0000 0.5000
0.0698 0.3768 0.7040
0.2316 0.2316 0.3023
0.3768 0.0698 0.7040
0.6232 0.9302 0.2960
0.7684 0.7684 0.6977
0.9302 0.6232 0.2960


4.
Tl2TeSe (PBE, relaxed); space group = Cmmm; crystal system = orthorhombic; uncorrected formation energy = -0.136 eV/atom
1.0
6.1698 0.0000 0.0000
0.0000 9.1981 0.0000
0.0000 0.0000 4.3930
Tl Te Se
4 2 2
direct
0.2500 0.2500 0.0000
0.2500 0.7500 0.0000
0.7500 0.2500 0.0000
0.7500 0.7500 0.0000
0.0000 0.0000 0.5000
0.5000 0.5000 0.5000
0.0000 0.5000 0.5000
0.5000 0.0000 0.5000


no.,density (g cm⁻³)
1,4.26
2,3.41
3,2.54
4,8.20